1.
Material: NaP2Ir3
Method: DFT, PBE
State: optimized geometry

POSCAR file:
```
NaP2Ir3
1.0
7.481 -1.968 0.000
7.481 1.968 0.000
-2.981 0.000 6.635
Na P Ir
2 4 6
Direct
0.165 0.165 0.063
0.835 0.835 0.937
0.181 0.181 0.668
0.479 0.479 0.830
0.521 0.521 0.170
0.819 0.819 0.332
0.042 0.042 0.351
0.315 0.315 0.593
0.403 0.403 0.327
0.597 0.597 0.673
0.685 0.685 0.407
0.958 0.958 0.649
```

## Properties
Its spin magnetization is 0.00 μB/f.u. Its density of states at the Fermi level is 0.422 states/eV/atom. The energy of formation from the pure elements comes out at -2.4 eV/f.u. The value obtained for the calculated volume is 16.278 Å³/atom.

2.
Material: TiReAg2H
Method: DFT, PBE
State: optimized geometry

POSCAR file:
```
TiReAg2H
1.0
5.196 0.000 0.000
0.000 5.196 0.000
0.000 0.000 4.507
Ti Re Ag H
1 1 2 1
Direct
0.000 0.000 0.000
0.000 0.000 0.500
0.000 0.500 0.500
0.500 0.000 0.500
0.500 0.500 0.000
```

## Properties
Its spin magnetization is 1.09 μB/f.u. The final energy is -4.260 eV/atom. Its density of states at the Fermi level is 0.858 states/eV/atom. The value obtained for the calculated volume is 24.334 Å³/atom.

3.
Material: RbLi2Tl2Sb2
Method: DFT, PBE
State: optimized geometry

POSCAR file:
```
RbLi2Tl2Sb2
1.0
2.499 1.443 10.503
-2.499 1.443 10.503
0.000 -2.886 10.503
Rb Li Tl Sb
1 2 2 2
Direct
0.000 0.000 0.000
0.422 0.422 0.422
0.578 0.578 0.578
0.134 0.134 0.134
0.866 0.866 0.866
0.250 0.250 0.250
0.750 0.750 0.750
```

## Properties
As for the uncorrected formation energy: -0.28 eV per atom. Its spin magnetization is 0.00 μB/f.u. Its density of states at the Fermi level is 0.596 states/eV/atom. The value obtained for the calculated volume is 32.468 Å³/atom.

4.
Material: BaMn2Tc
Method: DFT, PBE
State: optimized geometry

POSCAR file:
```
BaMn2Tc
1.0
3.508 0.000 0.000
0.000 4.668 0.000
0.000 0.000 4.871
Ba Mn Tc
1 2 1
Direct
0.000 0.000 0.000
0.000 0.500 0.500
0.500 0.000 0.500
0.500 0.500 0.000
```

## Properties
Its spin magnetization is 7.97 μB/f.u. The calculation puts the relative energy among the computed polymorphs at 0.6982 eV per atom. Its density of states at the Fermi level is 0.919 states/eV/atom. The energy of formation from the pure elements comes out at 4.7 eV/f.u. The value obtained for the calculated volume is 19.941 Å³/atom.

5.
Material: PrTh2I2Br4
Method: DFT, PBE
State: optimized geometry

POSCAR file:
```
PrTh2I2Br4
1.0
3.992 0.000 0.000
-1.996 3.457 0.000
0.000 0.000 25.038
Pr Th I Br
1 2 2 4
Direct
0.000 0.000 0.000
0.000 0.000 0.652
0.667 0.333 0.330
0.667 0.333 0.088
0.667 0.333 0.912
0.000 0.000 0.251
0.000 0.000 0.410
0.667 0.333 0.573
0.667 0.333 0.732
```

## Properties
As for the uncorrected formation energy: -1.35 eV per atom. Its spin magnetization is 0.94 μB/f.u. Its density of states at the Fermi level is 0.083 states/eV/atom. The value obtained for the calculated volume is 38.393 Å³/atom.

6.
Material: Th4ReIrSe2
Method: DFT, PBE
State: optimized geometry

POSCAR file:
```
Th4ReIrSe2
1.0
7.161 0.000 0.000
0.000 4.139 0.000
-2.394 0.000 7.368
Th Re Ir Se
4 1 1 2
Direct
0.234 0.000 0.216
0.258 0.500 0.787
0.742 0.500 0.213
0.766 0.000 0.784
0.000 0.500 0.000
0.500 0.000 0.000
0.000 0.000 0.500
0.500 0.500 0.500
```

## Properties
As for the uncorrected formation energy: -1.01 eV per atom. Its spin magnetization is 0.00 μB/f.u. Its density of states at the Fermi level is 0.323 states/eV/atom. The value obtained for the calculated volume is 27.294 Å³/atom.

7.
Material: U2Be3Si4Pt
Method: DFT, PBE
State: optimized geometry

POSCAR file:
```
U2Be3Si4Pt
1.0
3.919 0.000 0.000
0.000 3.919 0.000
0.000 0.000 9.682
U Be Si Pt
2 3 4 1
Direct
0.000 0.500 0.238
0.500 0.000 0.762
0.000 0.500 0.875
0.500 0.000 0.125
0.500 0.500 0.500
0.000 0.000 0.000
0.000 0.500 0.648
0.500 0.000 0.352
0.500 0.500 0.000
0.000 0.000 0.500
```

## Properties
As for the uncorrected formation energy: -0.37 eV per atom. Its spin magnetization is 4.56 μB/f.u. Its density of states at the Fermi level is 1.358 states/eV/atom. The value obtained for the calculated volume is 14.869 Å³/atom.

8.
Material: BaCdSeBr2
Method: DFT, PBE
State: optimized geometry

POSCAR file:
```
BaCdSeBr2
1.0
6.262 0.000 0.000
0.000 6.262 0.000
0.000 0.000 6.664
Ba Cd Se Br
1 1 1 2
Direct
0.000 0.000 0.000
0.500 0.500 0.500
0.000 0.000 0.500
0.000 0.500 0.000
0.500 0.000 0.000
```

## Properties
As for the uncorrected formation energy: -0.65 eV per atom. Its spin magnetization is 1.73 μB/f.u. The calculation puts the relative energy among the computed polymorphs at 0.5708 eV per atom. Its density of states at the Fermi level is 1.418 states/eV/atom. The value obtained for the calculated volume is 52.260 Å³/atom.

9.
Material: Mg2Sb2Te
Method: DFT, PBE
State: optimized geometry

POSCAR file:
```
Mg2Sb2Te
1.0
9.114 0.000 0.000
0.000 9.114 0.000
0.000 0.000 3.183
Mg Sb Te
4 4 2
Direct
0.148 0.352 0.000
0.352 0.852 0.000
0.648 0.148 0.000
0.852 0.648 0.000
0.151 0.651 0.500
0.349 0.151 0.500
0.651 0.849 0.500
0.849 0.349 0.500
0.000 0.000 0.500
0.500 0.500 0.500
```

## Properties
As for the uncorrected formation energy: -0.10 eV per atom. Its spin magnetization is 0.00 μB/f.u. The calculation puts the relative energy among the computed polymorphs at 0.0083 eV per atom. Its density of states at the Fermi level is 0.467 states/eV/atom. The value obtained for the calculated volume is 26.441 Å³/atom.

10.
Material: La2CeEr3P6
Method: DFT, PBE
State: optimized geometry

POSCAR file:
```
La2CeEr3P6
1.0
8.903 -2.047 0.000
8.903 2.047 0.000
-1.854 0.000 7.968
La Ce Er P
2 1 3 6
Direct
0.167 0.167 0.334
0.833 0.833 0.666
0.500 0.500 0.000
0.167 0.167 0.834
0.500 0.500 0.500
0.833 0.833 0.166
0.004 0.004 0.750
0.333 0.333 0.928
0.337 0.337 0.407
0.663 0.663 0.593
0.667 0.667 0.072
0.996 0.996 0.250
```

## Properties
Its spin magnetization is 0.49 μB/f.u. Its density of states at the Fermi level is 0.476 states/eV/atom. The energy of formation from the pure elements comes out at -18.8 eV/f.u. The value obtained for the calculated volume is 24.205 Å³/atom.

11.
Material: Na2Cd3Hg4
Method: DFT, PBE
State: optimized geometry

POSCAR file:
```
Na2Cd3Hg4
1.0
4.386 -2.527 0.000
4.386 2.527 0.000
-0.023 0.000 9.792
Na Cd Hg
2 3 4
Direct
0.167 0.167 0.222
0.833 0.833 0.778
0.166 0.166 0.570
0.500 0.500 0.000
0.834 0.834 0.430
0.166 0.166 0.893
0.499 0.499 0.668
0.501 0.501 0.332
0.834 0.834 0.107
```

## Properties
Its spin magnetization is 0.00 μB/f.u. The calculation puts the relative energy among the computed polymorphs at 0.0000 eV per atom. Its density of states at the Fermi level is 0.247 states/eV/atom. The energy of formation from the pure elements comes out at -1.3 eV/f.u. The value obtained for the calculated volume is 24.119 Å³/atom.

12.
Material: Rb2Na2Mg2Tl5
Method: DFT, PBE
State: optimized geometry

POSCAR file:
```
Rb2Na2Mg2Tl5
1.0
-2.432 2.432 19.625
2.432 -2.432 19.625
2.432 2.432 -19.625
Rb Na Mg Tl
2 2 2 5
Direct
0.203 0.203 0.000
0.797 0.797 0.000
0.376 0.376 0.000
0.624 0.624 0.000
0.107 0.107 0.000
0.893 0.893 0.000
0.000 0.000 0.000
0.058 0.558 0.500
0.442 0.942 0.500
0.558 0.058 0.500
0.942 0.442 0.500
```

## Properties
Its spin magnetization is 0.00 μB/f.u. Its density of states at the Fermi level is 0.512 states/eV/atom. The energy of formation from the pure elements comes out at 0.9 eV/f.u. The value obtained for the calculated volume is 42.192 Å³/atom.

Q: Which of these has the lowest calculated volume?
A: U2Be3Si4Pt